1.
Material: PmMnBr6
Method: DFT, PBE-GGA
State: relaxed

CIF file:
```
data_PmMnBr6
_chemical_formula_sum 'Pm1 Mn1 Br6'
_space_group_name_H-M_alt 'P 1'
_space_group_IT_number 1
_cell_length_a 6.833
_cell_length_b 6.838
_cell_length_c 7.375
_cell_angle_alpha 90.03
_cell_angle_beta 117.57
_cell_angle_gamma 119.96
loop_
_space_group_symop_operation_xyz
'x,y,z'
loop_
_atom_site_label
_atom_site_fract_x
_atom_site_fract_y
_atom_site_fract_z
Pm1 0.000 0.000 0.000
Mn1 0.000 0.500 0.500
Br1 0.153 0.425 0.264
Br2 0.161 0.271 0.736
Br3 0.465 0.889 0.736
Br4 0.535 0.111 0.264
Br5 0.839 0.729 0.264
Br6 0.847 0.575 0.736
```

Results
Space group = P-1
Formation energy (no corrections) = -9.23 eV/f.u.
Spin magnetization = 4.00 μB/cell
Fermi-level density of states = 5.51 states/eV per cell


2.
Material: SmZn4Co
Method: DFT, PBE-GGA
State: relaxed

CIF file:
```
data_SmZn4Co
_chemical_formula_sum 'Sm2 Zn8 Co2'
_space_group_name_H-M_alt 'P 1'
_space_group_IT_number 1
_cell_length_a 7.543
_cell_length_b 4.006
_cell_length_c 6.786
_cell_angle_alpha 90.00
_cell_angle_beta 90.00
_cell_angle_gamma 90.00
loop_
_space_group_symop_operation_xyz
'x,y,z'
loop_
_atom_site_label
_atom_site_fract_x
_atom_site_fract_y
_atom_site_fract_z
Sm1 0.250 0.000 0.107
Sm2 0.750 0.000 0.893
Zn1 0.000 0.000 0.500
Zn2 0.062 0.500 0.802
Zn3 0.250 0.500 0.461
Zn4 0.438 0.500 0.802
Zn5 0.500 0.000 0.500
Zn6 0.562 0.500 0.198
Zn7 0.750 0.500 0.539
Zn8 0.938 0.500 0.198
Co1 0.250 0.000 0.712
Co2 0.750 0.000 0.288
```

Results
Energy of formation = -22 kJ per mole of atoms
Space group = Pmma
Spin magnetization = 0.00 μB/cell
Fermi-level density of states = 9.79 states/eV per cell


3.
Material: YCr2BiSb
Method: DFT, PBE-GGA
State: relaxed

CIF file:
```
data_YCr2BiSb
_chemical_formula_sum 'Y1 Cr2 Bi1 Sb1'
_space_group_name_H-M_alt 'P 1'
_space_group_IT_number 1
_cell_length_a 5.096
_cell_length_b 5.096
_cell_length_c 5.794
_cell_angle_alpha 90.00
_cell_angle_beta 90.00
_cell_angle_gamma 90.00
loop_
_space_group_symop_operation_xyz
'x,y,z'
loop_
_atom_site_label
_atom_site_fract_x
_atom_site_fract_y
_atom_site_fract_z
Y1 0.000 0.000 0.000
Cr1 0.000 0.500 0.500
Cr2 0.500 0.000 0.500
Bi1 0.500 0.500 0.000
Sb1 0.000 0.000 0.500
```

Results
Space group = P4/mmm
Formation energy (no corrections) = 2.18 eV/f.u.
Spin magnetization = 8.99 μB/cell
Fermi-level density of states = 1.11 states/eV per cell


4.
Material: Li3LaTa
Method: DFT, PBE-GGA
State: relaxed

CIF file:
```
data_Li3LaTa
_chemical_formula_sum 'Li3 La1 Ta1'
_space_group_name_H-M_alt 'P 1'
_space_group_IT_number 1
_cell_length_a 4.692
_cell_length_b 4.692
_cell_length_c 4.692
_cell_angle_alpha 90.00
_cell_angle_beta 90.00
_cell_angle_gamma 90.00
loop_
_space_group_symop_operation_xyz
'x,y,z'
loop_
_atom_site_label
_atom_site_fract_x
_atom_site_fract_y
_atom_site_fract_z
Li1 0.000 0.000 0.500
Li2 0.000 0.500 0.000
Li3 0.500 0.000 0.000
La1 0.000 0.000 0.000
Ta1 0.500 0.500 0.500
```

Results
Energy of formation = 162 kJ per mole of atoms
Space group = Pm-3m
Spin magnetization = 0.69 μB/cell
Fermi-level density of states = 6.96 states/eV per cell


5.
Material: Ac2Y3Ho3
Method: DFT, PBE-GGA
State: relaxed

CIF file:
```
data_Ac2Y3Ho3
_chemical_formula_sum 'Ac4 Y6 Ho6'
_space_group_name_H-M_alt 'P 1'
_space_group_IT_number 1
_cell_length_a 9.002
_cell_length_b 9.002
_cell_length_c 17.566
_cell_angle_alpha 90.00
_cell_angle_beta 90.00
_cell_angle_gamma 156.02
loop_
_space_group_symop_operation_xyz
'x,y,z'
loop_
_atom_site_label
_atom_site_fract_x
_atom_site_fract_y
_atom_site_fract_z
Ac1 0.248 0.752 0.605
Ac2 0.248 0.752 0.895
Ac3 0.752 0.248 0.105
Ac4 0.752 0.248 0.395
Y1 0.091 0.909 0.042
Y2 0.091 0.909 0.458
Y3 0.118 0.882 0.750
Y4 0.882 0.118 0.250
Y5 0.909 0.091 0.542
Y6 0.909 0.091 0.958
Ho1 0.085 0.915 0.250
Ho2 0.455 0.545 0.118
Ho3 0.455 0.545 0.382
Ho4 0.545 0.455 0.618
Ho5 0.545 0.455 0.882
Ho6 0.915 0.085 0.750
```

Results
Energy of formation = 17 kJ per mole of atoms
Space group = Cmcm
Spin magnetization = 0.00 μB/cell
Fermi-level density of states = 23.43 states/eV per cell


6.
Material: K2LaMn
Method: DFT, PBE-GGA
State: relaxed

CIF file:
```
data_K2LaMn
_chemical_formula_sum 'K2 La1 Mn1'
_space_group_name_H-M_alt 'P 1'
_space_group_IT_number 1
_cell_length_a 10.813
_cell_length_b 10.813
_cell_length_c 4.752
_cell_angle_alpha 102.61
_cell_angle_beta 102.61
_cell_angle_gamma 19.12
loop_
_space_group_symop_operation_xyz
'x,y,z'
loop_
_atom_site_label
_atom_site_fract_x
_atom_site_fract_y
_atom_site_fract_z
K1 0.157 0.157 0.157
K2 0.843 0.843 0.843
La1 0.000 0.000 0.500
Mn1 0.500 0.500 0.000
```

Results
Energy of formation = 47 kJ per mole of atoms
Space group = C2/m
Spin magnetization = 2.70 μB/cell
Fermi-level density of states = 4.77 states/eV per cell


7.
Material: LiDy3Th4S8
Method: DFT, PBE-GGA
State: relaxed

CIF file:
```
data_LiDy3Th4S8
_chemical_formula_sum 'Li1 Dy3 Th4 S8'
_space_group_name_H-M_alt 'P 1'
_space_group_IT_number 1
_cell_length_a 8.093
_cell_length_b 8.093
_cell_length_c 8.093
_cell_angle_alpha 57.27
_cell_angle_beta 57.27
_cell_angle_gamma 57.27
loop_
_space_group_symop_operation_xyz
'x,y,z'
loop_
_atom_site_label
_atom_site_fract_x
_atom_site_fract_y
_atom_site_fract_z
Li1 0.000 0.000 0.000
Dy1 0.000 0.500 0.500
Dy2 0.500 0.000 0.500
Dy3 0.500 0.500 0.000
Th1 0.000 0.000 0.500
Th2 0.000 0.500 0.000
Th3 0.500 0.000 0.000
Th4 0.500 0.500 0.500
S1 0.239 0.239 0.751
S2 0.239 0.751 0.239
S3 0.249 0.761 0.761
S4 0.255 0.255 0.255
S5 0.745 0.745 0.745
S6 0.751 0.239 0.239
S7 0.761 0.249 0.761
S8 0.761 0.761 0.249
```

Results
Space group = R-3m
Formation energy (no corrections) = -29.72 eV/f.u.
Spin magnetization = 0.00 μB/cell
Fermi-level density of states = 8.97 states/eV per cell


8.
Material: YOs2Au
Method: DFT, PBE-GGA
State: relaxed

CIF file:
```
data_YOs2Au
_chemical_formula_sum 'Y1 Os2 Au1'
_space_group_name_H-M_alt 'P 1'
_space_group_IT_number 1
_cell_length_a 9.928
_cell_length_b 9.928
_cell_length_c 9.928
_cell_angle_alpha 16.63
_cell_angle_beta 16.63
_cell_angle_gamma 16.63
loop_
_space_group_symop_operation_xyz
'x,y,z'
loop_
_atom_site_label
_atom_site_fract_x
_atom_site_fract_y
_atom_site_fract_z
Y1 0.000 0.000 0.000
Os1 0.246 0.246 0.246
Os2 0.754 0.754 0.754
Au1 0.500 0.500 0.500
```

Results
Energy of formation = 67 kJ per mole of atoms
Space group = R-3m
Spin magnetization = 0.00 μB/cell
Fermi-level density of states = 3.49 states/eV per cell